Mn3Co20B6: single point on PBEsol structure, SCAN.

Calculated values
**Calculated formation energy**: -0.140 eV/atom
**DFT total energy**: -15.4997 eV/atom
**Total moment**: 137.0 Bohr magnetons per cell

Cell: 10.273 10.273 10.273 Å, 90.00 90.00 90.00°
Space group Fm-3m (No. 225)
Inequivalent atoms, fractional coordinates:
Mn  0.000  0.000  0.000
Mn  0.250  0.250  0.250
Co  0.000  0.171  0.171
Co  0.120  0.120  0.380
B  0.000  0.000  0.274

Tc2AgTe: single point on PBEsol structure, SCAN.

Calculated values
**Uncorrected formation energy**: 42.6 kJ/mol of atoms
**DFT total energy**: -34.2433 eV/atom
**Total moment**: 0.0 Bohr magnetons per cell

Cell: 2.9327 2.9327 27.9472 Å, 90.00 90.00 120.00°
Space group R3m (No. 160, hexagonal axes)
Inequivalent atoms, fractional coordinates:
Tc  0.0000  0.0000  0.0000
Tc  0.0000  0.0000  0.2644
Ag  0.0000  0.0000  0.5140
Te  0.0000  0.0000  0.7479

Ti2SiGeS: single point on PBEsol structure, SCAN.

Calculated values
**Uncorrected formation energy**: 20.0 kJ/mol of atoms
**DFT total energy**: -13.9511 eV/atom
**Total moment**: 0.0 Bohr magnetons per cell

Cell: 4.444 4.444 4.647 Å, 90.00 90.00 90.00°
Space group P4/mmm (No. 123)
Inequivalent atoms, fractional coordinates:
Ti  0.000  0.500  0.000
Si  0.000  0.000  0.500
Ge  0.500  0.500  0.500
S  0.500  0.500  0.000

In2PRh: single point on PBEsol structure, SCAN.

Calculated values
**Calculated formation energy**: 0.165 eV/atom
**DFT total energy**: -27.5710 eV/atom
**Total moment**: 0.0 Bohr magnetons per cell

Cell: 4.047 4.047 8.580 Å, 90.00 90.00 90.00°
Space group I-4m2 (No. 119)
Inequivalent atoms, fractional coordinates:
In  0.000  0.000  0.000
In  0.000  0.500  0.250
P  0.000  0.000  0.500
Rh  0.000  0.500  0.750

KPb2Cl5: single point on PBEsol structure, SCAN.

Calculated values
**Uncorrected formation energy**: -144.7 kJ/mol of atoms
**ΔE to the lowest computed polymorph**: 0.0 meV per atom
**DFT total energy**: -26.4721 eV/atom
**Total moment**: 0.0 Bohr magnetons per cell

Cell: 8.767 7.822 12.393 Å, 90.00 90.04 90.00°
Space group P2_1/c (No. 14)
Inequivalent atoms, fractional coordinates:
K  0.009  0.048  0.171
Pb  0.247  0.569  0.006
Pb  0.494  0.514  0.324
Cl  0.040  0.176  0.414
Cl  0.266  0.691  0.779
Cl  0.275  0.159  0.687
Cl  0.276  0.541  0.502
Cl  0.458  0.166  0.400

BaRu3W: single point on PBEsol structure, SCAN.

Calculated values
**Calculated formation energy**: 3.394 eV/atom
**DFT total energy**: -39.3491 eV/atom
**Total moment**: 0.3 Bohr magnetons per cell

Cell: 4.777 4.777 4.777 Å, 90.00 90.00 90.00°
Space group Pm-3m (No. 221)
Inequivalent atoms, fractional coordinates:
Ba  0.000  0.000  0.000
Ru  0.000  0.000  0.500
W  0.500  0.500  0.500

Zr4Ta: single point on PBEsol structure, SCAN.

Calculated values
**Calculated formation energy**: 0.161 eV/atom
**DFT total energy**: -37.7143 eV/atom
**Total moment**: 0.0 Bohr magnetons per cell

Cell: 6.934 6.934 4.405 Å, 90.00 90.00 90.00°
Space group I4/m (No. 87)
Inequivalent atoms, fractional coordinates:
Zr  0.101  0.295  0.000
Ta  0.000  0.000  0.500

ZnTc2Mo: single point on PBEsol structure, SCAN.

Calculated values
**Calculated formation energy**: 0.202 eV/atom
**DFT total energy**: -29.4277 eV/atom
**Total moment**: 0.0 Bohr magnetons per cell

Cell: 6.101 6.101 6.101 Å, 90.00 90.00 90.00°
Space group F-43m (No. 216)
Inequivalent atoms, fractional coordinates:
Zn  0.000  0.000  0.000
Tc  0.000  0.000  0.500
Tc  0.250  0.250  0.750
Mo  0.250  0.250  0.250

Sc2OsRu: single point on PBEsol structure, SCAN.

Calculated values
**Calculated formation energy**: -0.548 eV/atom
**DFT total energy**: -34.3435 eV/atom
**Total moment**: 0.0 Bohr magnetons per cell

Cell: 3.169 3.169 6.357 Å, 90.00 90.00 90.00°
Space group P4/mmm (No. 123)
Inequivalent atoms, fractional coordinates:
Sc  0.000  0.000  0.249
Os  0.500  0.500  0.500
Ru  0.500  0.500  0.000

Sr5In3: single point on PBEsol structure, SCAN.

Calculated values
**Calculated formation energy**: -0.467 eV/atom
**ΔE to the lowest computed polymorph**: 0.0 meV per atom
**DFT total energy**: -26.9086 eV/atom
**Total moment**: 0.2 Bohr magnetons per cell

Cell: 8.627 8.627 16.220 Å, 90.00 90.00 90.00°
Space group I4/mcm (No. 140)
Inequivalent atoms, fractional coordinates:
Sr  0.000  0.000  0.000
Sr  0.175  0.325  0.146
In  0.000  0.000  0.250
In  0.116  0.384  0.500

AlRe5: single point on PBEsol structure, SCAN.

Calculated values
**Calculated formation energy**: -0.081 eV/atom
**DFT total energy**: -60.6210 eV/atom
**Total moment**: 0.0 Bohr magnetons per cell

Cell: 4.425 2.807 13.973 Å, 90.00 90.00 90.00°
Space group Amm2 (No. 38)
Inequivalent atoms, fractional coordinates:
Al  0.000  0.000  0.000
Re  0.000  0.000  0.337
Re  0.000  0.000  0.672
Re  0.500  0.000  0.113
Re  0.500  0.000  0.449
Re  0.500  0.000  0.781

TePPtN2: single point on PBEsol structure, SCAN.

Calculated values
**Uncorrected formation energy**: 92.4 kJ/mol of atoms
**DFT total energy**: -26.3272 eV/atom
**Total moment**: 0.4 Bohr magnetons per cell

Cell: 3.528 3.528 6.241 Å, 90.00 90.00 90.00°
Space group P4/mmm (No. 123)
Inequivalent atoms, fractional coordinates:
Te  0.000  0.000  0.000
P  0.000  0.000  0.500
Pt  0.500  0.500  0.000
N  0.000  0.500  0.500